## Pm5Dy7 (PBE-GGA)

Data for a relaxed Pm5Dy7 crystal.

Calculated values
Mass density (g cm⁻³): 7.76
ΔE to the lowest computed polymorph (meV/atom): 180.3
Space group: No. 12
Formation energy from the elements (eV per formula unit): 2.200
Spin magnetization (μB per formula unit): 0.001

Geometry as extended XYZ:
```
12
Lattice="5.769 0.000 0.000 -2.884 4.801 -0.338 0.000 -2.519 14.567" Properties=species:S:1:pos:R:3 pbc="T T T"
Pm 0.000 0.226 6.262
Pm 2.884 2.056 7.967
Pm 0.000 3.146 2.667
Pm 2.884 -0.864 11.563
Pm 0.000 0.000 0.000
Dy 0.000 0.616 9.628
Dy 2.884 1.666 4.601
Dy 0.000 -0.095 3.083
Dy 2.884 2.376 11.146
Dy 2.884 1.553 1.074
Dy 2.884 -1.259 7.284
Dy 0.000 0.729 13.155
```



## Pm2Dy7 (PBE-GGA)

Data for a relaxed Pm2Dy7 crystal.

Calculated values
Mass density (g cm⁻³): 8.23
ΔE to the lowest computed polymorph (meV/atom): 0.0
Space group: No. 162
Formation energy from the elements (eV per formula unit): 0.161
Spin magnetization (μB per formula unit): 0.000

Geometry as extended XYZ:
```
9
Lattice="-0.403 5.603 2.564 -5.106 -3.349 -0.918 0.909 -3.557 7.915" Properties=species:S:1:pos:R:3 pbc="T T T"
Pm -3.538 -0.365 0.242
Pm -1.970 2.619 1.403
Dy 0.000 0.000 0.000
Dy 0.036 2.547 4.366
Dy -3.103 -3.428 2.042
Dy -1.527 -0.443 3.202
Dy -1.094 -3.478 4.955
Dy 0.470 -0.501 6.113
Dy -3.072 -0.860 6.359
```



## Pm2Dy5 (PBE-GGA)

Data for a relaxed Pm2Dy5 crystal.

Calculated values
Mass density (g cm⁻³): 7.99
Space group: No. 15
Formation energy from the elements (eV per formula unit): 0.109
Spin magnetization (μB per formula unit): 0.000

Geometry as extended XYZ:
```
14
Lattice="6.302 0.000 0.000 0.000 9.244 0.315 -3.151 -1.043 7.830" Properties=species:S:1:pos:R:3 pbc="T T T"
Pm -1.054 2.737 6.821
Pm 2.096 0.841 1.166
Pm 4.205 5.464 1.323
Pm 1.054 7.360 6.979
Dy 1.040 3.997 2.408
Dy -2.111 -0.418 5.579
Dy -1.050 5.677 4.688
Dy 2.101 7.147 3.613
Dy 4.201 2.524 3.456
Dy 1.050 1.054 4.531
Dy 5.262 8.619 2.565
Dy 2.111 4.205 5.737
Dy 5.262 2.311 0.079
Dy 1.040 6.933 0.236
```



## Pm3Dy5 (PBE-GGA)

Data for a relaxed Pm3Dy5 crystal.

Calculated values
Mass density (g cm⁻³): 7.97
ΔE to the lowest computed polymorph (meV/atom): 0.0
Space group: No. 65
Formation energy from the elements (eV per formula unit): 0.129
Spin magnetization (μB per formula unit): 0.000

Geometry as extended XYZ:
```
8
Lattice="-1.578 -2.527 -4.092 -0.069 -6.085 3.785 -6.809 1.246 1.856" Properties=species:S:1:pos:R:3 pbc="T T T"
Pm -3.439 -2.420 2.821
Pm -2.534 -5.526 1.260
Pm -5.922 -1.841 0.290
Dy 0.000 0.000 0.000
Dy -3.405 0.623 0.928
Dy -0.035 -3.042 1.893
Dy -2.503 -2.470 -0.640
Dy -5.953 -4.897 2.189
```



## Pm2Dy7 (PBE-GGA)

Data for a relaxed Pm2Dy7 crystal.

Calculated values
Mass density (g cm⁻³): 8.18
ΔE to the lowest computed polymorph (meV/atom): 25.5
Space group: No. 189
Formation energy from the elements (eV per formula unit): 0.390
Spin magnetization (μB per formula unit): 0.069

Geometry as extended XYZ:
```
9
Lattice="-1.194 1.094 3.163 5.685 -6.518 4.399 3.355 8.921 -1.819" Properties=species:S:1:pos:R:3 pbc="T T T"
Pm 4.908 -1.371 2.327
Pm 4.132 3.775 0.254
Dy 3.072 -3.660 4.421
Dy 1.569 6.305 0.408
Dy 2.608 1.399 2.496
Dy 1.729 -1.983 1.338
Dy 1.021 2.714 -0.553
Dy 6.290 1.672 1.796
Dy -0.597 0.547 1.581
```



## Pm5Dy2 (PBE-GGA)

Data for a relaxed Pm5Dy2 crystal.

Calculated values
Mass density (g cm⁻³): 7.35
ΔE to the lowest computed polymorph (meV/atom): 0.0
Space group: No. 15
Formation energy from the elements (eV per formula unit): 0.182
Spin magnetization (μB per formula unit): 0.000

Geometry as extended XYZ:
```
14
Lattice="6.349 0.000 0.000 0.000 9.355 0.419 -3.174 -1.044 7.946" Properties=species:S:1:pos:R:3 pbc="T T T"
Pm 1.063 4.044 2.439
Pm -2.111 -0.410 5.717
Pm -1.051 5.752 4.820
Pm 2.123 7.236 3.755
Pm 4.225 2.559 3.546
Pm 1.051 1.075 4.610
Pm 5.285 8.721 2.649
Pm 2.111 4.267 5.927
Pm 5.287 2.339 0.105
Pm 1.062 7.016 0.315
Dy -1.048 2.779 6.988
Dy 2.127 0.855 1.168
Dy 4.222 5.532 1.378
Dy 1.048 7.456 7.198
```



## Pm3Dy4 (PBE-GGA)

Data for a relaxed Pm3Dy4 crystal.

Calculated values
Mass density (g cm⁻³): 7.88
Space group: No. 12
Formation energy from the elements (eV per formula unit): 0.119
Spin magnetization (μB per formula unit): 0.000

Geometry as extended XYZ:
```
7
Lattice="-3.535 -2.963 2.114 5.836 -1.818 1.121 0.958 3.837 6.980" Properties=species:S:1:pos:R:3 pbc="T T T"
Pm 2.468 -1.332 2.259
Pm 0.000 0.000 0.000
Pm 0.792 0.389 7.956
Dy 4.164 -0.097 6.825
Dy 1.706 1.250 4.603
Dy 1.554 -2.193 5.612
Dy -0.904 -0.847 3.390
```



## Pm7Dy5 (PBE-GGA)

Data for a relaxed Pm7Dy5 crystal.

Calculated values
Mass density (g cm⁻³): 7.51
ΔE to the lowest computed polymorph (meV/atom): 164.1
Space group: No. 12
Formation energy from the elements (eV per formula unit): 2.044
Spin magnetization (μB per formula unit): 0.000

Geometry as extended XYZ:
```
12
Lattice="5.813 0.000 0.000 -2.907 4.826 -0.369 0.000 -2.419 14.581" Properties=species:S:1:pos:R:3 pbc="T T T"
Pm 0.000 0.698 9.607
Pm 2.907 1.709 4.605
Pm 0.000 -0.135 3.075
Pm 2.907 2.542 11.138
Pm 2.907 1.546 1.078
Pm 2.907 -1.209 7.291
Pm 0.000 0.861 13.134
Dy 0.000 0.292 6.307
Dy 2.907 2.115 7.905
Dy 0.000 3.138 2.638
Dy 2.907 -0.730 11.575
Dy 0.000 0.000 0.000
```



## Pm3Dy (PBE-GGA)

Data for a relaxed Pm3Dy crystal.

Calculated values
Mass density (g cm⁻³): 7.37
ΔE to the lowest computed polymorph (meV/atom): 15.0
Space group: No. 139
Formation energy from the elements (eV per formula unit): 0.060
Spin magnetization (μB per formula unit): 0.000

Geometry as extended XYZ:
```
4
Lattice="5.128 0.000 0.000 0.000 5.128 0.000 -2.564 -2.564 5.121" Properties=species:S:1:pos:R:3 pbc="T T T"
Pm 2.564 0.000 2.560
Pm 0.000 2.564 2.560
Pm 2.564 2.564 0.000
Dy 0.000 0.000 0.000
```



## Pm3Dy (PBE-GGA)

Data for a relaxed Pm3Dy crystal.

Calculated values
Mass density (g cm⁻³): 7.39
ΔE to the lowest computed polymorph (meV/atom): 0.0
Space group: No. 62
Formation energy from the elements (eV per formula unit): 0.000
Spin magnetization (μB per formula unit): 0.000

Geometry as extended XYZ:
```
16
Lattice="-1.297 -6.109 -0.802 3.647 0.053 -6.296 9.855 -2.839 5.685" Properties=species:S:1:pos:R:3 pbc="T T T"
Pm 7.737 -2.633 3.413
Pm 11.151 -7.390 1.146
Pm 6.240 -5.976 -1.688
Pm 4.402 -5.988 1.452
Pm -0.509 -4.573 -1.381
Pm 4.201 -3.221 -2.845
Pm 8.004 -5.675 1.432
Pm 12.715 -4.323 -0.032
Pm 7.803 -2.908 -2.866
Pm 5.965 -2.920 0.274
Pm 1.054 -1.505 -2.559
Pm 4.468 -6.263 -4.826
Dy 2.638 -6.289 -1.667
Dy 9.821 -5.648 -1.705
Dy 2.384 -3.247 0.292
Dy 9.567 -2.607 0.254
```



## Pm13Dy2 (PBE-GGA)

Data for a relaxed Pm13Dy2 crystal.

Calculated values
Mass density (g cm⁻³): 7.24
ΔE to the lowest computed polymorph (meV/atom): 0.0
Space group: No. 2
Formation energy from the elements (eV per formula unit): 0.870
Spin magnetization (μB per formula unit): 0.000

Geometry as extended XYZ:
```
15
Lattice="6.714 -0.152 0.666 -1.071 9.043 0.346 0.331 -3.958 8.202" Properties=species:S:1:pos:R:3 pbc="T T T"
Pm 4.049 5.471 0.911
Pm 1.926 -0.539 8.303
Pm 0.000 0.000 0.000
Pm 2.213 -2.227 5.446
Pm 3.762 7.159 3.769
Pm 0.335 2.062 6.545
Pm 5.640 2.870 2.669
Pm 2.158 3.783 3.788
Pm 3.817 1.149 5.427
Pm 2.734 4.143 7.465
Pm 3.241 0.790 1.749
Pm 5.454 -1.497 7.115
Pm 0.521 6.429 2.099
Dy 5.418 4.556 5.533
Dy 0.557 0.376 3.682
```



## Pm4Dy (PBE-GGA)

Data for a relaxed Pm4Dy crystal.

Calculated values
Mass density (g cm⁻³): 7.29
ΔE to the lowest computed polymorph (meV/atom): 4.8
Space group: No. 139
Formation energy from the elements (eV per formula unit): 0.082
Spin magnetization (μB per formula unit): 0.000

Geometry as extended XYZ:
```
5
Lattice="-0.844 -3.496 0.491 1.298 -0.777 -3.300 11.379 0.043 6.463" Properties=species:S:1:pos:R:3 pbc="T T T"
Pm 2.512 -2.549 -0.409
Pm 4.625 -0.834 2.016
Pm 7.208 -3.396 1.638
Pm 9.321 -1.681 4.062
Dy 0.000 0.000 0.000
```



## Pm5Dy (PBE-GGA)

Data for a relaxed Pm5Dy crystal.

Calculated values
Mass density (g cm⁻³): 7.25
Space group: No. 65
Formation energy from the elements (eV per formula unit): 0.088
Spin magnetization (μB per formula unit): 0.000

Geometry as extended XYZ:
```
6
Lattice="5.133 0.000 0.000 0.000 5.133 0.000 0.000 -2.567 7.713" Properties=species:S:1:pos:R:3 pbc="T T T"
Pm 0.000 2.567 2.556
Pm 0.000 0.000 5.157
Pm 2.567 2.567 0.000
Pm 2.567 0.000 2.565
Pm 2.567 2.567 5.147
Dy 0.000 0.000 0.000
```



## PmDy5 (PBE-GGA)

Data for a relaxed PmDy5 crystal.

Calculated values
Mass density (g cm⁻³): 8.32
Space group: No. 12
Formation energy from the elements (eV per formula unit): 0.100
Spin magnetization (μB per formula unit): 0.000

Geometry as extended XYZ:
```
6
Lattice="5.026 0.000 0.000 -2.513 5.213 -2.129 0.000 0.470 7.104" Properties=species:S:1:pos:R:3 pbc="T T T"
Pm 0.000 3.526 3.829
Dy 2.513 4.957 -1.611
Dy 0.000 3.289 0.277
Dy 2.513 1.868 5.729
Dy 2.513 1.623 2.166
Dy 2.513 5.183 1.930
```



## Pm13Dy2 (PBE-GGA)

Data for a relaxed Pm13Dy2 crystal.

Calculated values
Mass density (g cm⁻³): 7.02
ΔE to the lowest computed polymorph (meV/atom): 86.9
Space group: No. 166
Formation energy from the elements (eV per formula unit): 2.173
Spin magnetization (μB per formula unit): 0.000

Geometry as extended XYZ:
```
15
Lattice="-3.351 -6.233 1.172 3.774 -6.089 0.357 1.434 -2.628 12.073" Properties=species:S:1:pos:R:3 pbc="T T T"
Pm 0.929 -7.475 6.801
Pm -0.327 -7.982 11.425
Pm 1.339 -4.884 10.842
Pm 3.215 -7.911 11.020
Pm -1.358 -7.039 2.583
Pm 2.184 -6.968 2.177
Pm 0.518 -10.066 2.760
Pm -1.120 -4.622 5.058
Pm 0.543 -1.530 4.477
Pm 2.415 -4.551 4.654
Pm -0.558 -10.399 8.949
Pm 2.977 -10.328 8.544
Pm 1.314 -13.420 9.126
Dy 0.294 -3.932 1.882
Dy 1.563 -11.018 11.720
```



## Pm3Dy (PBE-GGA)

Data for a relaxed Pm3Dy crystal.

Calculated values
Mass density (g cm⁻³): 7.33
ΔE to the lowest computed polymorph (meV/atom): 138.8
Space group: No. 225
Formation energy from the elements (eV per formula unit): 0.555
Spin magnetization (μB per formula unit): 0.005

Geometry as extended XYZ:
```
4
Lattice="5.762 0.000 0.000 2.881 4.990 0.000 2.881 1.663 4.705" Properties=species:S:1:pos:R:3 pbc="T T T"
Pm 0.000 0.000 0.000
Pm 8.643 4.990 3.528
Pm 2.881 1.663 1.176
Dy 5.762 3.327 2.352
```



## Pm2Pr3Dy5 (PBE-GGA)

Data for a relaxed Pm2Pr3Dy5 crystal.

Calculated values
Mass density (g cm⁻³): 7.47
Space group: No. 15
Formation energy from the elements (eV per formula unit): 1.795
Spin magnetization (μB per formula unit): 0.000

Geometry as extended XYZ:
```
20
Lattice="8.373 1.504 -3.870 0.194 8.471 -3.942 -1.585 -1.745 11.005" Properties=species:S:1:pos:R:3 pbc="T T T"
Pm 5.262 -0.007 5.103
Pm 1.720 8.236 -1.910
Pm 2.914 5.552 3.457
Pm 4.068 2.677 -0.264
Pr 0.601 6.980 5.830
Pr 6.381 1.249 -2.637
Pr 5.800 4.688 -1.930
Pr 1.182 3.541 5.123
Pr -0.062 6.165 -0.377
Pr 7.044 2.064 3.570
Dy 2.319 4.766 -2.600
Dy 4.663 3.463 5.793
Dy -0.508 5.648 2.913
Dy 3.598 2.184 2.991
Dy 7.490 2.582 0.280
Dy 3.384 6.046 0.202
Dy 6.161 5.170 2.312
Dy 0.820 3.060 0.881
Dy 1.967 0.318 6.122
Dy 5.015 7.911 -2.929
```



## Pm2Pr3Dy6 (PBE-GGA)

Data for a relaxed Pm2Pr3Dy6 crystal.

Calculated values
Mass density (g cm⁻³): 7.29
ΔE to the lowest computed polymorph (meV/atom): 64.4
Space group: No. 139
Formation energy from the elements (eV per formula unit): 2.806
Spin magnetization (μB per formula unit): 0.000

Geometry as extended XYZ:
```
11
Lattice="4.804 0.000 0.000 0.000 4.804 0.000 -2.402 -2.402 16.650" Properties=species:S:1:pos:R:3 pbc="T T T"
Pm 0.000 0.000 15.116
Pm 2.402 2.402 1.535
Pr 0.000 0.000 0.000
Pr 2.402 2.402 9.844
Pr 0.000 0.000 6.806
Dy 0.000 2.402 4.000
Dy 2.402 0.000 4.000
Dy 2.402 0.000 12.651
Dy 0.000 2.402 12.651
Dy 2.402 2.402 6.386
Dy 0.000 0.000 10.265
```



## Pm3Pr2Dy3 (PBE-GGA)

Data for a relaxed Pm3Pr2Dy3 crystal.

Calculated values
Mass density (g cm⁻³): 7.28
ΔE to the lowest computed polymorph (meV/atom): 110.7
Space group: No. 63
Formation energy from the elements (eV per formula unit): 1.029
Spin magnetization (μB per formula unit): 0.000

Geometry as extended XYZ:
```
16
Lattice="5.649 0.000 0.000 -2.825 6.007 0.000 0.000 0.000 16.184" Properties=species:S:1:pos:R:3 pbc="T T T"
Pm 2.825 5.089 6.578
Pm 0.000 0.918 14.670
Pm 2.825 5.089 1.514
Pm 0.000 0.918 9.606
Pm 2.825 2.833 4.046
Pm 0.000 3.174 12.138
Pr 2.825 3.360 14.115
Pr 0.000 2.647 6.023
Pr 2.825 3.360 10.161
Pr 0.000 2.647 2.069
Dy 2.825 1.424 7.277
Dy 0.000 4.583 15.368
Dy 2.825 1.424 0.815
Dy 0.000 4.583 8.907
Dy 0.000 5.527 4.046
Dy 2.825 0.480 12.138
```



## PmPr8Dy6 (PBE-GGA)

Data for a relaxed PmPr8Dy6 crystal.

Calculated values
Mass density (g cm⁻³): 7.18
ΔE to the lowest computed polymorph (meV/atom): 23.5
Space group: No. 147
Formation energy from the elements (eV per formula unit): 2.669
Spin magnetization (μB per formula unit): 0.000

Geometry as extended XYZ:
```
15
Lattice="6.561 0.000 0.000 0.000 8.281 -4.781 0.000 0.000 9.562" Properties=species:S:1:pos:R:3 pbc="T T T"
Pm 3.280 0.000 0.000
Pr 5.413 0.341 2.538
Pr 5.413 5.913 3.807
Pr 5.413 2.027 7.998
Pr 1.147 7.941 2.243
Pr 1.147 2.368 0.974
Pr 1.147 6.254 -3.217
Pr 5.706 2.760 4.781
Pr 0.854 5.521 0.000
Dy 4.365 5.400 -2.195
Dy 4.365 7.482 0.993
Dy 4.365 3.680 1.202
Dy 2.196 2.881 6.977
Dy 2.196 0.799 3.788
Dy 2.196 4.601 3.579
```